Entry from Alexandria: Li2Fe5Si5O16 after structural relaxation (PBE with a Hubbard U).

## Properties
Magnetization ... 20.00 μB/cell
Calculated total energy ... -7.17 eV per atom

Cell and atoms, written as POSCAR:
```
Li2Fe5Si5O16
1.0
-0.117 -1.423 -4.959
4.014 -5.641 1.442
-8.370 -5.566 1.942
Li Fe Si O
2 5 5 16
direct
0.846 0.032 0.838 Li
0.317 0.494 0.632 Li
0.719 0.018 0.343 Fe
0.717 0.517 0.355 Fe
0.192 0.496 0.168 Fe
0.323 0.999 0.660 Fe
0.210 0.996 0.145 Fe
0.835 0.240 0.601 Si
0.686 0.267 0.089 Si
0.763 0.486 0.834 Si
0.214 0.760 0.411 Si
0.256 0.727 0.907 Si
0.711 0.051 0.664 O
0.821 0.071 0.143 O
0.741 0.293 0.927 O
0.144 0.253 0.629 O
0.374 0.254 0.114 O
0.751 0.264 0.446 O
0.699 0.428 0.681 O
0.804 0.451 0.162 O
0.326 0.560 0.348 O
0.059 0.563 0.847 O
0.899 0.766 0.373 O
0.552 0.650 0.871 O
0.280 0.753 0.566 O
0.229 0.737 0.065 O
0.337 0.945 0.334 O
0.194 0.932 0.845 O
```